# 1
7
Lattice="-1.9605 -3.0662 -3.5164 -3.1515 -1.9421 3.4505 -2.8630 8.0593 -1.7898" Properties=species:S:1:pos:R:3 comment="ErTh2Te2P2, optimized geometry, DFT GGA-PBE" formation_energy_uncorrected_ev_per_atom=-1.061 m_tot_mub_per_cell=0.87 space_group=I4/mmm pbc="T T T"
Er 0.0000 0.0000 0.0000
Th -4.2550 4.3620 -1.4312
Th -3.7199 -1.3110 -0.4244
Te -2.0491 2.1006 -0.6893
Te -5.9258 0.9504 -1.1664
P -1.5758 -0.9710 1.7253
P -0.9802 -1.5331 -1.7582

=====

# 2
15
Lattice="8.5005 0.0000 0.0000 -4.2502 7.3605 -0.0253 0.0000 -4.8814 7.2282" Properties=species:S:1:pos:R:3 comment="Er8Tl3Te3P, optimized geometry, DFT GGA-PBE" formation_energy_uncorrected_ev_per_atom=-0.718 m_tot_mub_per_cell=0.49 space_group=R-3m pbc="T T T"
Er 0.0000 2.4599 1.8008
Er 4.2503 0.0192 5.4021
Er 4.2503 2.6406 1.9822
Er 0.0000 -0.1615 5.2207
Er 6.5316 -1.3099 1.9959
Er -2.2814 3.7890 5.2070
Er 1.9689 -1.3099 1.9959
Er 2.2814 3.7891 5.2070
Tl 4.2502 -2.4407 3.6141
Tl 2.1251 1.2396 3.6014
Tl -2.1251 1.2396 3.6015
Te 0.0000 0.0000 0.0000
Te -2.1251 3.6802 -0.0127
Te 2.1251 3.6802 -0.0127
P 0.0000 -2.4407 3.6141

=====

# 3
4
Lattice="-1.6452 1.2890 -3.4817 -0.9192 -3.6848 1.4382 -4.1255 3.1731 5.4926" Properties=species:S:1:pos:R:3 comment="YErTeP, optimized geometry, DFT GGA-PBE" formation_energy_uncorrected_ev_per_atom=-1.524 m_tot_mub_per_cell=0.00 space_group=R3m pbc="T T T"
Y -3.6619 2.1872 2.0931
Er -1.3610 -3.1309 1.4049
Te -3.4327 0.9899 -0.8266
P -4.6265 1.1412 4.5297

=====

# 4
8
Lattice="-2.1818 -3.0090 1.6486 2.9971 1.4120 6.5436 -6.0640 4.0466 -0.6393" Properties=species:S:1:pos:R:3 comment="Er4ZnTe2P, optimized geometry, DFT GGA-PBE" formation_energy_uncorrected_ev_per_atom=-1.097 m_tot_mub_per_cell=0.00 space_group=P2/m pbc="T T T"
Er -1.7001 -0.3088 2.2005
Er -3.5486 2.7584 5.3523
Er -3.9565 3.5029 1.1573
Er 0.8896 1.9557 4.7469
Zn 0.4077 -0.7985 4.0961
Te -4.1229 0.5188 0.5046
Te -1.5335 2.7293 2.9521
P 0.0000 0.0000 0.0000

=====

# 5
16
Lattice="-6.0246 4.4449 3.4134 -3.3286 -7.0219 3.2690 7.8648 1.8292 1.5818" Properties=species:S:1:pos:R:3 comment="Er8ZnTe4P3, optimized geometry, DFT GGA-PBE" formation_energy_uncorrected_ev_per_atom=-1.308 m_tot_mub_per_cell=0.00 space_group=R-3m pbc="T T T"
Er 3.8446 -2.1748 4.7034
Er -0.0525 -3.0812 3.9197
Er 1.5901 0.0881 2.6918
Er 0.8594 0.0277 6.3948
Er -2.3477 -0.7755 1.8694
Er -3.0785 -0.8359 5.5724
Er -1.4359 2.3334 4.3445
Er -5.3330 1.4270 3.5608
Zn -1.6643 -3.5109 1.6345
Te -3.0123 2.2225 1.7067
Te 0.9201 3.1370 2.4976
Te 0.0000 0.0000 0.0000
Te 3.9324 0.9146 0.7909
P -4.6766 -1.2885 3.3412
P -0.7442 -0.3739 4.1321
P 2.2681 -2.5964 2.4254

=====

# 6
4
Lattice="-2.4350 2.7429 0.7604 -3.0786 -0.7311 2.0045 3.3007 2.8265 9.6000" Properties=species:S:1:pos:R:3 comment="ErTh2P, optimized geometry, DFT GGA-PBE" e_tot_ev_per_cell=-26.1 m_tot_mub_per_cell=0.01 space_group=R-3m pbc="T T T"
P -1.1065 2.4191 6.1824
Th 1.6231 2.1227 6.7668
Th -3.8360 2.7156 5.5981
Er 0.0000 0.0000 0.0000

=====

# 7
8
Lattice="-2.0794 0.4033 3.4488 -0.6701 -3.1844 -2.4065 9.4065 -6.8729 6.4752" Properties=species:S:1:pos:R:3 comment="ErThP2, optimized geometry, DFT GGA-PBE" e_above_lowest_polymorph_mev_per_atom=58.0 m_tot_mub_per_cell=0.00 space_group=P6_3/mmc pbc="T T T"
Er 0.7420 -2.5108 3.1158
Er 5.9150 -7.1432 4.4017
Th 4.7032 -3.4365 3.2376
Th 0.0000 0.0000 0.0000
P 2.3605 -4.5460 1.9548
P 6.5939 -6.7866 7.1442
P 4.2965 -5.1080 5.5627
P 0.0630 -2.8674 0.3733

=====

# 8
4
Lattice="3.6425 0.0000 0.0000 1.8212 3.1545 0.0000 1.8212 1.0515 10.2220" Properties=species:S:1:pos:R:3 comment="Er2ThP, optimized geometry, DFT GGA-PBE" e_tot_ev_per_cell=-23.8 m_tot_mub_per_cell=0.00 space_group=R-3m pbc="T T T"
P 3.6425 2.1030 5.1110
Th 0.0000 0.0000 0.0000
Er 1.8212 1.0515 6.7565
Er 5.4637 3.1545 3.4655

=====

# 9
16
Lattice="-6.6173 3.1481 -3.6260 -6.5956 1.8797 4.4510 -2.0149 7.7984 1.2301" Properties=species:S:1:pos:R:3 comment="Er3Th5P8, optimized geometry, DFT GGA-PBE" e_tot_ev_per_cell=-119.1 m_tot_mub_per_cell=0.00 space_group=R-3m pbc="T T T"
Er -4.3161 5.4733 -1.1979
Er -1.0075 3.8992 0.6151
Er -4.3053 4.8390 2.8406
Th -3.3086 1.5741 -1.8130
Th -6.6064 2.5139 0.4125
Th 0.0000 0.0000 0.0000
Th -3.2978 0.9398 2.2255
Th -7.6139 6.4131 1.0276
P -4.8000 7.0511 1.1202
P -8.1444 8.0043 3.3772
P -8.1554 8.6475 -0.7184
P -11.4429 9.5632 1.5325
P -10.4279 5.7751 0.9349
P -7.0834 4.8220 -1.3221
P -7.0724 4.1787 2.7735
P -3.7849 3.2631 0.5226

=====

# 10
4
Lattice="3.9713 0.0000 0.0000 1.9857 3.4393 0.0000 1.9857 1.1464 7.0116" Properties=species:S:1:pos:R:3 comment="ErThP2, optimized geometry, DFT GGA-PBE" e_above_lowest_polymorph_mev_per_atom=151.9 m_tot_mub_per_cell=0.57 space_group=R3m pbc="T T T"
Er 5.9570 3.4393 6.9418
Th 3.9713 2.2928 3.5571
P 1.9857 1.1464 5.3623
P 1.9857 1.1464 1.6679

=====

# 11
12
Lattice="6.8526 0.1653 1.0401 1.6817 5.8071 3.3853 0.1150 0.0627 6.9264" Properties=species:S:1:pos:R:3 comment="Er5ThP6, optimized geometry, DFT GGA-PBE" e_tot_ev_per_cell=-82.0 m_tot_mub_per_cell=0.00 space_group=C2/m pbc="T T T"
P 5.2966 0.6353 3.4016
P 2.7475 3.4184 4.5587
P 2.1544 1.5157 1.1215
P 6.3799 4.4567 3.3039
P 5.9019 2.6167 6.7930
P 3.3528 5.3999 7.9502
Th 0.0000 0.0000 0.0000
Er 3.7822 1.0881 5.7096
Er 0.5987 1.9559 3.4385
Er 4.2672 2.9862 2.2127
Er 1.1980 3.9139 6.8732
Er 4.8672 4.9470 5.6421

=====

# 12
4
Lattice="-2.4743 2.6930 1.7874 -3.1613 1.5350 -2.0540 -5.6725 -3.5115 2.0729" Properties=species:S:1:pos:R:3 comment="ErThP2, optimized geometry, DFT GGA-PBE" e_above_lowest_polymorph_mev_per_atom=0.0 m_tot_mub_per_cell=0.00 space_group=R-3m pbc="T T T"
Er 0.0000 0.0000 0.0000
Th -5.6541 0.3582 0.9032
P -2.7889 0.2286 0.4298
P -8.5193 0.4878 1.3765